A plane-wave DFT calculation with GGA-PBE was carried out for a relaxed Pu3C2 crystal.

Computed properties:
**DOS at the Fermi energy**: 30.7 states/eV/cell
**E**: -12.329 eV/atom
**DFT formation energy**: -41 meV/atom

Cell lengths 3.4195, 3.4195, 21.7902 Å; angles 90.00, 90.00, 120.00 degrees
Space group R-3m (No. 166, hexagonal axes)
Unique sites:
Pu 0.0000 0.0000 0.0000 x3
Pu 0.0000 0.0000 0.1987 x6
C 0.0000 0.0000 0.4021 x6